[1]
Entry from Alexandria: an optimized crystal structure of K2CuPSe (PBE).

Cell and atoms, written as extended XYZ:
```
5
Lattice="6.2729 0.0000 0.0000 0.0000 6.2729 0.0000 0.0000 0.0000 4.3688" Properties=species:S:1:pos:R:3 pbc="T T T"
K 0.0000 3.1364 0.0000
K 3.1364 0.0000 0.0000
Cu 0.0000 0.0000 0.0000
P 3.1364 3.1364 2.1844
Se 0.0000 0.0000 2.1844
```

Properties
The total magnetic moment is 0.400 μB/atom. The calculated volume is 34.4 Å³ per atom. The calculation puts the distance to the lowest polymorph of the same formula at 0.229 eV/atom. The space group is P4/mmm (123). For the uncorrected formation energy, the calculation gives 0.2 eV/f.u. The value obtained for the uncorrected energy is -15.0 eV/cell.

***

[2]
Entry from Alexandria: an optimized crystal structure of PmTh2N3 (PBE).

Cell and atoms, written as extended XYZ:
```
6
Lattice="-1.8246 2.5701 5.4821 1.8246 -2.5701 5.4821 1.8246 2.5701 -5.4821" Properties=species:S:1:pos:R:3 pbc="T T T"
Pm 0.0000 0.0000 0.0000
Th 0.0000 0.0000 3.6690
Th 0.0000 0.0000 7.2953
N 1.8246 0.0000 1.8993
N 0.0000 2.5701 0.0000
N 0.0000 2.5701 3.5828
```

Properties
The total magnetic moment is 0.000 μB/atom. The calculated volume is 17.1 Å³ per atom. The calculation puts the distance to the lowest polymorph of the same formula at 0.000 eV/atom. The space group is Immm (71). For the uncorrected formation energy, the calculation gives -9.3 eV/f.u. The value obtained for the uncorrected energy is -53.9 eV/cell.

***

[3]
Entry from Alexandria: an optimized crystal structure of La4MoAu (PBE).

Cell and atoms, written as extended XYZ:
```
6
Lattice="0.0000 4.4180 4.4180 4.4180 0.0000 4.4180 4.4180 4.4180 0.0000" Properties=species:S:1:pos:R:3 pbc="T T T"
La 1.0986 1.0986 1.0986
La 3.3194 3.3194 1.0986
La 3.3194 1.0986 3.3194
La 1.0986 3.3194 3.3194
Mo 6.6271 6.6271 6.6271
Au 4.4180 4.4180 4.4180
```

Properties
The total magnetic moment is 0.202 μB/atom. The calculated volume is 28.7 Å³ per atom. The space group is F-43m (216). Its formation enthalpy at 0 K is 4.4 eV per formula unit. The value obtained for the uncorrected energy is -29.4 eV/cell.

***

[4]
Entry from Alexandria: an optimized crystal structure of Hf2TaV (PBE).

Cell and atoms, written as extended XYZ:
```
4
Lattice="3.3430 0.0000 0.0000 0.0000 3.3430 0.0000 0.0000 0.0000 6.8707" Properties=species:S:1:pos:R:3 pbc="T T T"
Hf 0.0000 0.0000 1.6298
Hf 0.0000 0.0000 5.2410
Ta 1.6715 1.6715 3.4354
V 1.6715 1.6715 0.0000
```

Properties
The total magnetic moment is 0.620 μB/atom. The calculated volume is 19.2 Å³ per atom. The calculation puts the distance to the lowest polymorph of the same formula at 0.000 eV/atom. The space group is P4/mmm (123). Its formation enthalpy at 0 K is 0.7 eV per formula unit. The value obtained for the uncorrected energy is -40.2 eV/cell.

***

[5]
Entry from Alexandria: an optimized crystal structure of YbNd2S4 (PBE).

Cell and atoms, written as extended XYZ:
```
14
Lattice="-4.2665 4.2665 4.2873 4.2665 -4.2665 4.2873 4.2665 4.2665 -4.2873" Properties=species:S:1:pos:R:3 pbc="T T T"
Yb 0.0000 0.0000 0.0000
Yb 0.0000 4.2665 2.1436
Nd 2.1332 3.1763 -1.0718
Nd 5.3567 2.1332 1.0718
Nd 2.1332 1.0902 3.2155
Nd -1.0902 2.1332 5.3591
S 4.8923 2.7387 -1.6958
S 2.7387 0.6258 0.4479
S 3.6407 -1.5278 3.8394
S -0.6258 1.5278 2.5915
S 2.7387 3.6407 1.6958
S 0.6258 5.7943 -0.4479
S 1.5278 0.6258 5.9830
S 1.5278 3.6407 4.7351
```

Properties
The total magnetic moment is 0.033 μB/atom. The calculated volume is 22.3 Å³ per atom. The calculation puts the distance to the lowest polymorph of the same formula at 0.000 eV/atom. The space group is I-42d (122). For the uncorrected formation energy, the calculation gives -14.6 eV/f.u. The value obtained for the uncorrected energy is -84.3 eV/cell.

***

[6]
Entry from Alexandria: an optimized crystal structure of BaGe3PtAu (PBE).

Cell and atoms, written as extended XYZ:
```
12
Lattice="3.3211 -7.0923 0.0000 3.3211 7.0923 0.0000 0.0000 0.0000 6.6256" Properties=species:S:1:pos:R:3 pbc="T T T"
Ba 3.3211 3.5983 4.9692
Ba 3.3211 -3.5983 1.6564
Ge 1.5764 0.0000 0.0000
Ge 1.5764 0.0000 3.3128
Ge 3.3211 3.6247 1.6564
Ge 3.3211 -3.6247 4.9692
Ge 5.0657 0.0000 0.0000
Ge 5.0657 0.0000 3.3128
Pt 3.3211 5.9789 1.6564
Pt 3.3211 -5.9789 4.9692
Au 3.3211 1.1733 1.6564
Au 3.3211 -1.1733 4.9692
```

Properties
The total magnetic moment is 0.000 μB/atom. The calculated volume is 26.0 Å³ per atom. The space group is Cmcm (63). Its formation enthalpy at 0 K is -2.0 eV per formula unit. The value obtained for the uncorrected energy is -54.3 eV/cell.

***

[7]
Entry from Alexandria: an optimized crystal structure of Li2BeSb (PBE).

Cell and atoms, written as extended XYZ:
```
4
Lattice="0.0000 3.2062 3.2062 3.2062 0.0000 3.2062 3.2062 3.2062 0.0000" Properties=species:S:1:pos:R:3 pbc="T T T"
Li 0.0000 0.0000 0.0000
Li 1.6031 1.6031 1.6031
Be 3.2062 3.2062 3.2062
Sb 4.8093 4.8093 4.8093
```

Properties
The total magnetic moment is 0.000 μB/atom. The calculated volume is 16.5 Å³ per atom. The calculation puts the distance to the lowest polymorph of the same formula at 0.119 eV/atom. The space group is F-43m (216). For the uncorrected formation energy, the calculation gives 0.0 eV/f.u. The value obtained for the uncorrected energy is -11.7 eV/cell.

***

[8]
Entry from Alexandria: an optimized crystal structure of CsNaBe2F6 (PBE).

Cell and atoms, written as extended XYZ:
```
20
Lattice="5.2124 -5.4431 0.0000 5.2124 5.4431 0.0000 -0.8455 0.0000 5.2341" Properties=species:S:1:pos:R:3 pbc="T T T"
Cs 4.5783 3.3660 3.9256
Cs 5.0011 -3.3660 1.3085
Na 5.0011 1.0419 1.3085
Na 4.5783 -1.0419 3.9256
Be 1.6750 0.8298 4.2354
Be 2.0977 -0.8298 1.6184
Be 7.4816 0.8298 3.6157
Be 7.9044 -0.8298 0.9987
F 3.3616 3.2637 1.1989
F 1.8098 0.0547 0.2579
F 1.3871 -0.0547 2.8750
F 3.1896 0.7729 4.4967
F 6.6405 3.2637 1.4181
F 3.6123 -0.7729 1.8797
F 5.9671 0.7729 3.3544
F 2.9388 -3.2637 3.8160
F 6.3898 -0.7729 0.7374
F 8.1923 0.0547 2.3591
F 7.7695 -0.0547 4.9761
F 6.2178 -3.2637 4.0352
```

Properties
The total magnetic moment is 0.000 μB/atom. The calculated volume is 14.8 Å³ per atom. The space group is C2/c (15). For the uncorrected formation energy, the calculation gives -31.0 eV/f.u. The value obtained for the uncorrected energy is -103.7 eV/cell.

***

[9]
Entry from Alexandria: an optimized crystal structure of Ag3Pb2Br8 (PBE).

Cell and atoms, written as extended XYZ:
```
13
Lattice="7.4696 -3.9566 0.0000 7.4696 3.9566 0.0000 -2.0157 0.0000 7.2395" Properties=species:S:1:pos:R:3 pbc="T T T"
Ag 0.0000 0.0000 0.0000
Ag 6.4617 1.9591 3.6197
Ag 6.4617 -1.9591 3.6197
Pb 2.1915 0.0000 5.9858
Pb 10.7319 0.0000 1.2537
Br 0.8079 0.0000 3.1327
Br 5.5496 2.0336 0.5948
Br 7.3738 2.0336 6.6447
Br 4.6353 0.0000 4.0545
Br 8.2881 0.0000 3.1850
Br 5.5496 -2.0336 0.5948
Br 7.3738 -2.0336 6.6447
Br 12.1155 0.0000 4.1068
```

Properties
The total magnetic moment is 0.000 μB/atom. The calculated volume is 32.9 Å³ per atom. The space group is C2/m (12). For the uncorrected formation energy, the calculation gives -7.1 eV/f.u. The value obtained for the uncorrected energy is -36.4 eV/cell.

***

[10]
Entry from Alexandria: an optimized crystal structure of AcThNiIr (PBE).

Cell and atoms, written as extended XYZ:
```
4
Lattice="0.0000 3.6208 3.6208 3.6208 0.0000 3.6208 3.6208 3.6208 0.0000" Properties=species:S:1:pos:R:3 pbc="T T T"
Ac 0.0000 0.0000 0.0000
Th 3.6208 3.6208 3.6208
Ni 5.4313 5.4313 5.4313
Ir 1.8104 1.8104 1.8104
```

Properties
The total magnetic moment is 0.000 μB/atom. The calculated volume is 23.7 Å³ per atom. The space group is F-43m (216). Its formation enthalpy at 0 K is -1.4 eV per formula unit. The value obtained for the uncorrected energy is -27.6 eV/cell.

***

[11]
Entry from Alexandria: an optimized crystal structure of SrCaPb2S4 (PBE).

Cell and atoms, written as extended XYZ:
```
8
Lattice="7.2858 0.0000 0.0000 0.0000 4.2059 0.0000 -2.4260 0.0000 6.9129" Properties=species:S:1:pos:R:3 pbc="T T T"
Sr 0.0000 0.0000 0.0000
Ca 3.6429 2.1030 0.0000
Pb -1.2130 2.1030 3.4564
Pb 2.4299 0.0000 3.4564
S 1.2656 2.1030 1.6743
S 0.0496 0.0000 5.2651
S 4.8102 0.0000 1.6478
S 3.5942 2.1030 5.2386
```

Properties
The total magnetic moment is 0.000 μB/atom. The calculated volume is 26.5 Å³ per atom. The space group is P2/m (10). For the uncorrected formation energy, the calculation gives -10.6 eV/f.u. The value obtained for the uncorrected energy is -38.2 eV/cell.

***

[12]
Entry from Alexandria: an optimized crystal structure of Zr3Ta (PBE).

Cell and atoms, written as extended XYZ:
```
4
Lattice="5.1917 -1.5510 0.0000 5.1917 1.5510 0.0000 -0.8575 0.0000 5.4515" Properties=species:S:1:pos:R:3 pbc="T T T"
Zr 0.0000 0.0000 0.0000
Zr 1.8702 0.0000 4.0330
Zr 7.6556 0.0000 1.4185
Ta 4.7629 0.0000 2.7257
```

Properties
The total magnetic moment is 0.000 μB/atom. The calculated volume is 21.9 Å³ per atom. The calculation puts the distance to the lowest polymorph of the same formula at 0.052 eV/atom. The space group is C2/m (12). Its formation enthalpy at 0 K is 0.6 eV per formula unit. The value obtained for the uncorrected energy is -36.9 eV/cell.

***

[13]
Entry from Alexandria: an optimized crystal structure of AcLa4Dy (PBE).

Cell and atoms, written as extended XYZ:
```
12
Lattice="-3.5095 6.0992 5.2629 3.5095 -6.0992 5.2629 3.5095 6.0992 -5.2629" Properties=species:S:1:pos:R:3 pbc="T T T"
Ac 0.0000 0.0000 0.0000
Ac 0.0000 6.0992 0.0000
La 1.9340 3.0496 -0.9936
La 5.0849 3.0496 -0.9936
La 3.5095 0.3145 1.5712
La 0.0000 0.3145 3.6917
La 3.5095 5.7847 1.5712
La 0.0000 5.7847 3.6917
La -1.5754 3.0496 6.2565
La 1.5754 3.0496 6.2565
Dy -1.7547 3.0496 2.6314
Dy 1.7547 3.0496 2.6314
```

Properties
The total magnetic moment is 0.000 μB/atom. The calculated volume is 37.6 Å³ per atom. The calculation puts the distance to the lowest polymorph of the same formula at 0.013 eV/atom. The space group is Imma (74). Its formation enthalpy at 0 K is 1.1 eV per formula unit. The value obtained for the uncorrected energy is -54.6 eV/cell.

***

[14]
Entry from Alexandria: an optimized crystal structure of Sc2PCl (PBE).

Cell and atoms, written as extended XYZ:
```
4
Lattice="3.7525 0.0000 0.0000 0.0000 1.8219 5.4993 0.0000 -1.8219 5.4993" Properties=species:S:1:pos:R:3 pbc="T T T"
Sc 0.0000 0.0000 0.0000
Sc 1.8762 0.0000 3.0062
P 0.0000 0.0000 8.2359
Cl 1.8762 0.0000 5.4745
```

Properties
The total magnetic moment is 0.000 μB/atom. The calculated volume is 18.8 Å³ per atom. The space group is Amm2 (38). For the uncorrected formation energy, the calculation gives -4.8 eV/f.u. The value obtained for the uncorrected energy is -24.7 eV/cell.

***

[15]
Entry from Alexandria: an optimized crystal structure of Sm8In2Tc (PBE).

Cell and atoms, written as extended XYZ:
```
11
Lattice="8.7825 -2.8274 0.0000 8.7825 2.8274 0.0000 -2.7250 0.0000 6.5264" Properties=species:S:1:pos:R:3 pbc="T T T"
Sm -0.6294 0.0000 1.7038
Sm 1.4590 0.0000 4.6913
Sm 4.7635 0.0000 4.0007
Sm 6.4662 0.0000 0.6848
Sm 8.3738 0.0000 5.8416
Sm 10.0765 0.0000 2.5258
Sm 13.3810 0.0000 1.8352
Sm 15.4694 0.0000 4.8226
In 2.7540 0.0000 1.2225
In 12.0860 0.0000 5.3039
Tc 7.4200 0.0000 3.2632
```

Properties
The total magnetic moment is 0.000 μB/atom. The calculated volume is 29.5 Å³ per atom. The space group is C2/m (12). Its formation enthalpy at 0 K is -2.0 eV per formula unit. The value obtained for the uncorrected energy is -55.6 eV/cell.

***

[16]
Entry from Alexandria: an optimized crystal structure of AcPr4Dy7 (PBE).

Cell and atoms, written as extended XYZ:
```
12
Lattice="6.3567 0.0000 0.0000 -0.0125 7.3275 0.0000 -2.1278 -0.0148 8.8097" Properties=species:S:1:pos:R:3 pbc="T T T"
Ac 0.0000 0.0000 0.0000
Pr -0.0200 3.6490 5.8923
Pr 1.0616 5.4855 2.9626
Pr 3.1549 1.8272 5.8471
Pr 4.2365 3.6636 2.9174
Dy -0.0062 3.6638 0.0000
Dy -0.0092 7.3125 5.8531
Dy 1.0617 1.8324 2.9352
Dy 3.1732 1.8383 0.0085
Dy 1.0433 5.4743 8.8012
Dy 3.1548 5.4803 5.8745
Dy 4.2257 0.0002 2.9566
```

Properties
The total magnetic moment is 0.000 μB/atom. The calculated volume is 34.2 Å³ per atom. The calculation puts the distance to the lowest polymorph of the same formula at 0.000 eV/atom. The space group is P-1 (2). Its formation enthalpy at 0 K is 0.3 eV per formula unit. The value obtained for the uncorrected energy is -55.1 eV/cell.

***

[17]
Entry from Alexandria: an optimized crystal structure of InAsP2 (PBE).

Cell and atoms, written as extended XYZ:
```
4
Lattice="3.2914 -1.9047 0.0000 3.2914 1.9047 0.0000 -2.2392 0.0000 6.2358" Properties=species:S:1:pos:R:3 pbc="T T T"
In 0.0000 0.0000 0.0000
As 2.1718 0.0000 3.1179
P -0.0306 0.0000 4.5532
P 4.3742 0.0000 1.6827
```

Properties
The total magnetic moment is 0.000 μB/atom. The calculated volume is 19.5 Å³ per atom. The calculation puts the distance to the lowest polymorph of the same formula at 0.072 eV/atom. The space group is C2/m (12). Its formation enthalpy at 0 K is 0.5 eV per formula unit. The value obtained for the uncorrected energy is -17.7 eV/cell.

***

[18]
Entry from Alexandria: an optimized crystal structure of Zn2RePt (PBE).

Cell and atoms, written as extended XYZ:
```
4
Lattice="0.0000 3.1143 3.1143 3.1143 0.0000 3.1143 3.1143 3.1143 0.0000" Properties=species:S:1:pos:R:3 pbc="T T T"
Zn 0.0000 0.0000 0.0000
Zn 1.5571 1.5571 1.5571
Re 3.1143 3.1143 3.1143
Pt 4.6714 4.6714 4.6714
```

Properties
The total magnetic moment is 0.544 μB/atom. The calculated volume is 15.1 Å³ per atom. The calculation puts the distance to the lowest polymorph of the same formula at 0.298 eV/atom. The space group is F-43m (216). Its formation enthalpy at 0 K is 0.9 eV per formula unit. The value obtained for the uncorrected energy is -20.1 eV/cell.

***

[19]
Entry from Alexandria: an optimized crystal structure of TiZn7Au4 (PBE).

Cell and atoms, written as extended XYZ:
```
12
Lattice="5.0122 -2.4909 0.0000 5.0122 2.4909 0.0000 -4.6974 0.0000 8.2338" Properties=species:S:1:pos:R:3 pbc="T T T"
Ti 0.0000 0.0000 0.0000
Zn -1.0090 0.0000 3.7450
Zn 2.6036 0.0000 0.7334
Zn 1.5896 0.0000 3.0262
Zn 5.0122 0.0000 0.0000
Zn 3.7374 0.0000 5.2075
Zn 2.7234 0.0000 7.5003
Zn 6.3360 0.0000 4.4888
Au -1.9195 0.0000 6.3841
Au 0.8997 0.0000 5.5938
Au 4.4273 0.0000 2.6400
Au 7.2465 0.0000 1.8496
```

Properties
The total magnetic moment is 0.045 μB/atom. The calculated volume is 17.1 Å³ per atom. The space group is C2/m (12). Its formation enthalpy at 0 K is 0.0 eV per formula unit. The value obtained for the uncorrected energy is -29.9 eV/cell.

***

[20]
Entry from Alexandria: an optimized crystal structure of Te2AsSBr (PBE).

Cell and atoms, written as extended XYZ:
```
5
Lattice="5.4916 0.0000 0.0000 0.0000 5.4916 0.0000 0.0000 0.0000 5.0364" Properties=species:S:1:pos:R:3 pbc="T T T"
Te 0.0000 2.7458 0.0000
Te 2.7458 0.0000 0.0000
As 0.0000 0.0000 0.0000
S 2.7458 2.7458 2.5182
Br 0.0000 0.0000 2.5182
```

Properties
The total magnetic moment is 0.000 μB/atom. The calculated volume is 30.4 Å³ per atom. The space group is P4/mmm (123). For the uncorrected formation energy, the calculation gives 3.4 eV/f.u. The value obtained for the uncorrected energy is -13.3 eV/cell.